<a>
Density functional theory data (PBE-GGA) for CeTmHf2 after structural relaxation.

Structure (POSCAR):
```
CeTmHf2
1.0
3.851 0.000 0.000
0.000 3.851 0.000
0.000 0.000 6.834
Ce Hf Tm
1 2 1
direct
0.500 0.500 0.000
0.000 0.000 0.780
0.000 0.000 0.220
0.500 0.500 0.500
```

Summary:
As for the density of states at the Fermi level: 6.14 states/eV/cell. Its crystal system is tetragonal. The calculation puts the spin magnetization at 0.00 Bohr magnetons per cell.



<b>
Density functional theory data (PBE-GGA) for CeTmHf2 after structural relaxation.

Structure (POSCAR):
```
CeTmHf2
1.0
4.701 0.000 0.000
0.000 4.644 0.000
0.000 0.000 4.644
Hf Ce Tm
2 1 1
direct
0.000 0.000 0.500
0.000 0.500 0.000
0.500 0.500 0.500
0.500 0.000 0.000
```

Summary:
As for the density of states at the Fermi level: 5.74 states/eV/cell. Its crystal system is tetragonal. The calculation puts the spin magnetization at 0.00 Bohr magnetons per cell.



Stability check: which of them is most stable? <b>.



<a>
Density functional theory data (PBE-GGA) for Ce2TmHf after structural relaxation.

Structure (POSCAR):
```
Ce2TmHf
1.0
4.872 0.000 0.000
0.000 4.704 0.000
0.000 0.000 4.704
Hf Tm Ce
1 1 2
direct
0.500 0.000 0.000
0.500 0.500 0.500
0.000 0.000 0.500
0.000 0.500 0.000
```

Summary:
As for the density of states at the Fermi level: 9.98 states/eV/cell. Its crystal system is tetragonal. The calculation puts the spin magnetization at 0.49 Bohr magnetons per cell.



<b>
Density functional theory data (PBE-GGA) for Ce2TmHf after structural relaxation.

Structure (POSCAR):
```
Ce2TmHf
1.0
3.291 0.000 0.000
0.000 3.291 0.000
0.000 0.000 9.970
Hf Ce Tm
1 2 1
direct
0.500 0.500 0.000
0.000 0.000 0.236
0.000 0.000 0.764
0.500 0.500 0.500
```

Summary:
As for the density of states at the Fermi level: 9.74 states/eV/cell. Its crystal system is tetragonal. The calculation puts the spin magnetization at 0.38 Bohr magnetons per cell.



Stability check: which of them is most stable? <b>.



<a>
Density functional theory data (PBE-GGA) for Ce2TmHf after structural relaxation.

Structure (POSCAR):
```
Ce2TmHf
1.0
3.193 0.000 0.000
1.596 2.765 0.000
1.596 0.922 11.969
Ce Tm Hf
2 1 1
direct
0.082 0.082 0.755
0.918 0.918 0.245
0.500 0.500 0.500
0.000 0.000 0.000
```

Summary:
As for the density of states at the Fermi level: 10.51 states/eV/cell. Its crystal system is trigonal. The calculation puts the spin magnetization at 0.01 Bohr magnetons per cell.



<b>
Density functional theory data (PBE-GGA) for Ce2TmHf after structural relaxation.

Structure (POSCAR):
```
Ce2TmHf
1.0
5.377 0.000 0.000
2.689 4.657 0.000
2.689 1.552 4.391
Ce Tm Hf
2 1 1
direct
0.750 0.750 0.750
0.250 0.250 0.250
0.500 0.500 0.500
0.000 0.000 0.000
```

Summary:
As for the density of states at the Fermi level: 11.95 states/eV/cell. Its crystal system is cubic. The calculation puts the spin magnetization at 1.23 Bohr magnetons per cell.



Stability check: which of them is most stable? <b>.



<a>
Density functional theory data (PBE-GGA) for CeTmHf after structural relaxation.

Structure (POSCAR):
```
CeTmHf
1.0
3.613 -0.983 -0.174
0.953 3.621 -0.174
0.783 0.452 11.594
Hf Ce Tm
2 2 2
direct
0.125 0.125 0.211
0.628 0.628 0.096
0.681 0.681 0.727
0.073 0.073 0.581
0.135 0.135 0.936
0.618 0.618 0.372
```

Summary:
As for the density of states at the Fermi level: 13.05 states/eV/cell. Its crystal system is monoclinic. The calculation puts the spin magnetization at 0.03 Bohr magnetons per cell.



<b>
Density functional theory data (PBE-GGA) for CeTmHf after structural relaxation.

Structure (POSCAR):
```
CeTmHf
1.0
3.321 0.000 0.000
-1.661 2.876 0.000
0.000 0.000 8.263
Tm Hf Ce
1 1 1
direct
0.333 0.667 0.655
0.667 0.333 0.333
0.000 0.000 0.013
```

Summary:
As for the density of states at the Fermi level: 5.25 states/eV/cell. Its crystal system is trigonal. The calculation puts the spin magnetization at 0.00 Bohr magnetons per cell.



Stability check: which of them is most stable? <b>.



<a>
Density functional theory data (PBE-GGA) for CeHf2V after structural relaxation.

Structure (POSCAR):
```
CeHf2V
1.0
-2.260 0.630 -2.219
-2.001 -2.080 1.448
-2.968 6.184 4.779
V Ce Hf
1 1 2
direct
0.500 0.500 0.000
0.500 0.500 0.500
0.000 0.000 0.197
0.000 0.000 0.803
```

Summary:
As for the density of states at the Fermi level: 7.28 states/eV/cell. Its crystal system is tetragonal. The calculation puts the spin magnetization at 1.88 Bohr magnetons per cell.



<b>
Density functional theory data (PBE-GGA) for CeHf2V after structural relaxation.

Structure (POSCAR):
```
CeHf2V
1.0
-1.812 -2.206 -1.011
1.040 -2.836 -0.212
-3.546 -3.650 9.786
Ce V Hf
1 1 2
direct
0.500 0.500 0.500
0.000 0.000 0.000
0.079 0.079 0.762
0.921 0.921 0.238
```

Summary:
As for the density of states at the Fermi level: 7.48 states/eV/cell. Its crystal system is trigonal. The calculation puts the spin magnetization at 0.00 Bohr magnetons per cell.



Stability check: which of them is most stable? <a>.



<a>
Density functional theory data (PBE-GGA) for Ce2HfZn after structural relaxation.

Structure (POSCAR):
```
Ce2HfZn
1.0
4.917 0.000 0.000
0.000 4.276 0.000
0.000 0.000 4.276
Ce Zn Hf
2 1 1
direct
0.000 0.000 0.500
0.000 0.500 0.000
0.500 0.000 0.000
0.500 0.500 0.500
```

Summary:
As for the density of states at the Fermi level: 9.33 states/eV/cell. Its crystal system is tetragonal. The calculation puts the spin magnetization at 0.09 Bohr magnetons per cell.



<b>
Density functional theory data (PBE-GGA) for Ce2HfZn after structural relaxation.

Structure (POSCAR):
```
Ce2HfZn
1.0
-2.927 1.071 0.347
0.266 -0.281 3.112
3.339 8.953 0.523
Zn Ce Hf
1 2 1
direct
0.500 0.500 0.000
0.000 0.000 0.237
0.000 0.000 0.763
0.500 0.500 0.500
```

Summary:
As for the density of states at the Fermi level: 8.70 states/eV/cell. Its crystal system is tetragonal. The calculation puts the spin magnetization at 0.00 Bohr magnetons per cell.



Stability check: which of them is most stable? <b>.



<a>
Density functional theory data (PBE-GGA) for CeHf2Zn after structural relaxation.

Structure (POSCAR):
```
CeHf2Zn
1.0
-0.421 -3.449 3.560
3.942 -2.754 1.273
2.200 0.693 4.408
Hf Ce Zn
2 1 1
direct
0.250 0.250 0.250
0.000 0.000 0.000
0.500 0.500 0.500
0.750 0.750 0.750
```

Summary:
As for the density of states at the Fermi level: 0.61 states/eV/cell. Its crystal system is cubic. The calculation puts the spin magnetization at 0.00 Bohr magnetons per cell.



<b>
Density functional theory data (PBE-GGA) for CeHf2Zn after structural relaxation.

Structure (POSCAR):
```
CeHf2Zn
1.0
3.049 0.000 0.000
1.524 2.640 0.000
1.524 0.880 10.747
Hf Ce Zn
2 1 1
direct
0.094 0.094 0.717
0.906 0.906 0.283
0.000 0.000 0.000
0.500 0.500 0.500
```

Summary:
As for the density of states at the Fermi level: 4.71 states/eV/cell. Its crystal system is trigonal. The calculation puts the spin magnetization at 0.00 Bohr magnetons per cell.



Stability check: which of them is most stable? <a>.



<a>
Density functional theory data (PBE-GGA) for CeHf2Zn after structural relaxation.

Structure (POSCAR):
```
CeHf2Zn
1.0
4.261 0.000 0.000
0.000 4.495 0.000
0.000 0.000 4.495
Hf Zn Ce
2 1 1
direct
0.000 0.500 0.000
0.000 0.000 0.500
0.500 0.000 0.000
0.500 0.500 0.500
```

Summary:
As for the density of states at the Fermi level: 3.31 states/eV/cell. Its crystal system is tetragonal. The calculation puts the spin magnetization at 0.00 Bohr magnetons per cell.



<b>
Density functional theory data (PBE-GGA) for CeHf2Zn after structural relaxation.

Structure (POSCAR):
```
CeHf2Zn
1.0
3.208 0.000 0.000
0.000 3.208 0.000
0.000 0.000 8.443
Hf Zn Ce
2 1 1
direct
0.000 0.000 0.787
0.000 0.000 0.213
0.500 0.500 0.000
0.500 0.500 0.500
```

Summary:
As for the density of states at the Fermi level: 5.54 states/eV/cell. Its crystal system is tetragonal. The calculation puts the spin magnetization at 0.01 Bohr magnetons per cell.



Stability check: which of them is most stable? <b>.